{
  "formula": "CsCaFeF6",
  "functional": "GGA+U",
  "state": "optimized geometry",
  "cell": [[-5.359, -1.912, 0.430], [-2.377, -2.836, -4.344], [2.148, -5.480, 2.404]],
  "species": ["F", "F", "F", "F", "F", "F", "Cs", "Fe", "Ca"],
  "frac_coords": [[0.400, 0.647, 0.329], [0.648, 0.953, 0.329], [0.953, 0.648, 0.671], [0.954, 0.398, 0.329], [0.647, 0.400, 0.671], [0.398, 0.954, 0.670], [0.000, 0.000, 0.000], [0.667, 0.667, 0.500], [0.333, 0.334, 0.500]],
  "magnetic_moment_mub_per_cell": 1.000,
  "total_energy_ev_per_atom": -5.007,
  "space_group": "P312"
}